YNiC PBE optimized geometry; energy of formation from the pure elements = -0.15 eV/atom
1.0
3.5226 0.0000 0.0000
-1.7613 3.0506 0.0000
0.0000 0.0000 3.8200
Y Ni C
1 1 1
Cartesian
0.0000 0.0000 0.0000
0.0000 2.0338 1.9100
1.7613 1.0169 1.9100


YNiC PBE optimized geometry; energy of formation from the pure elements = -0.18 eV/atom
1.0
2.2579 -5.9112 0.0000
2.2579 5.9112 0.0000
0.0000 0.0000 3.4469
Y Ni C
2 2 2
Cartesian
2.2579 4.1327 0.0000
2.2579 -4.1327 0.0000
2.2579 1.1968 1.7234
2.2579 -1.1968 1.7234
0.6905 0.0000 1.7234
3.8252 0.0000 1.7234


YNiC2 PBE optimized geometry; energy of formation from the pure elements = -0.33 eV/atom
1.0
3.6096 0.0000 0.0000
0.0000 2.2609 3.0065
0.0000 -2.2609 3.0065
Y Ni C
1 1 2
Cartesian
0.0000 0.0000 0.0000
1.8048 0.0000 3.6792
1.8048 -0.6861 1.8058
1.8048 0.6861 1.8058


Look up the energy of formation from the pure elements of the second one.
-0.18 eV/atom


Please write out number 2 again, unchanged.
YNiC PBE optimized geometry; energy of formation from the pure elements = -0.18 eV/atom
1.0
2.2579 -5.9112 0.0000
2.2579 5.9112 0.0000
0.0000 0.0000 3.4469
Y Ni C
2 2 2
Cartesian
2.2579 4.1327 0.0000
2.2579 -4.1327 0.0000
2.2579 1.1968 1.7234
2.2579 -1.1968 1.7234
0.6905 0.0000 1.7234
3.8252 0.0000 1.7234